P | Material: P2AuCS
Method: DFT, PBE-GGA
State: optimized geometry

Cell lengths 4.806, 4.806, 4.910 Å; angles 90.00, 90.00, 90.00 degrees
Positions (direct):
1 P 0.500 0.000 0.000
2 P 0.000 0.500 0.000
3 S 0.000 0.000 0.500
4 C 0.500 0.500 0.500
5 Au 0.000 0.000 0.000

Output
Spin magnetization: 0.2 μB per cell
Symmetry: P4/mmm, No. 123

=====

Q | Material: P2AuCS
Method: DFT, PBE-GGA
State: optimized geometry

Cell lengths 4.067, 4.067, 4.280 Å; angles 90.00, 90.00, 90.00 degrees
Positions (direct):
1 C 0.000 0.000 0.000
2 S 0.000 0.000 0.500
3 Au 0.500 0.500 0.500
4 P 0.500 0.000 0.000
5 P 0.000 0.500 0.000

Output
Spin magnetization: 0.0 μB per cell
Symmetry: P4/mmm, No. 123

=====

It is Q that is the most stable of them.

=====

P | Material: PbAuC3
Method: DFT, PBE-GGA
State: optimized geometry

Cell lengths 4.271, 4.271, 4.271 Å; angles 90.00, 90.00, 90.00 degrees
Positions (direct):
1 Au 0.000 0.000 0.000
2 C 0.000 0.000 0.500
3 C 0.500 0.000 0.000
4 Pb 0.500 0.500 0.500
5 C 0.000 0.500 0.000

Output
Spin magnetization: 2.6 μB per cell
Symmetry: Pm-3m, No. 221

=====

Q | Material: PbAuC3
Method: DFT, PBE-GGA
State: optimized geometry

Cell lengths 4.463, 4.463, 4.463 Å; angles 90.00, 90.00, 90.00 degrees
Positions (direct):
1 C 0.000 0.000 0.500
2 Pb 0.000 0.000 0.000
3 C 0.000 0.500 0.000
4 C 0.500 0.000 0.000
5 Au 0.500 0.500 0.500

Output
Spin magnetization: 0.0 μB per cell
Symmetry: Pm-3m, No. 221

=====

It is P that is the most stable of them.